Computed, not measured: a geometry-optimized Sb2WBr structure at the GGA-PBEsol level of DFT.

Values from the calculation:
Crystal system = orthorhombic
ΔE_f (raw) = 3.75 eV per formula unit
SG = Pmmm (47)
Offset from the most stable computed form = 0.378 eV per atom
M_tot = 0.00 μB per formula unit

```
data_Sb2WBr
_symmetry_space_group_name_H-M 'P 1'
_symmetry_Int_Tables_number 1
_cell_length_a 3.2288
_cell_length_b 4.9685
_cell_length_c 5.2282
_cell_angle_alpha 90.00
_cell_angle_beta 90.00
_cell_angle_gamma 90.00
loop_
_symmetry_equiv_pos_as_xyz
'x,y,z'
loop_
_atom_site_label
_atom_site_type_symbol
_atom_site_fract_x
_atom_site_fract_y
_atom_site_fract_z
_atom_site_occupancy
Sb1 Sb 0.5000 0.0000 0.5000 1
Sb2 Sb 0.0000 0.0000 0.0000 1
Br1 Br 0.0000 0.5000 0.5000 1
W1 W 0.5000 0.5000 0.0000 1
```

***

Computed, not measured: a geometry-optimized SbWBr2 structure at the GGA-PBEsol level of DFT.

Values from the calculation:
Crystal system = tetragonal
ΔE_f (raw) = 3.67 eV per formula unit
SG = I-4m2 (119)
Offset from the most stable computed form = 0.000 eV per atom
M_tot = 0.45 μB per formula unit

```
data_SbWBr2
_symmetry_space_group_name_H-M 'P 1'
_symmetry_Int_Tables_number 1
_cell_length_a 4.6682
_cell_length_b 4.9862
_cell_length_c 4.6682
_cell_angle_alpha 62.09
_cell_angle_beta 90.00
_cell_angle_gamma 117.91
loop_
_symmetry_equiv_pos_as_xyz
'x,y,z'
loop_
_atom_site_label
_atom_site_type_symbol
_atom_site_fract_x
_atom_site_fract_y
_atom_site_fract_z
_atom_site_occupancy
Sb1 Sb 0.5000 0.0000 0.5000 1
Br1 Br 0.0000 0.0000 0.0000 1
Br2 Br 0.2500 0.5000 0.2500 1
W1 W 0.7500 0.5000 0.7500 1
```

***

Computed, not measured: a geometry-optimized SbWBr structure at the GGA-PBEsol level of DFT.

Values from the calculation:
Crystal system = cubic
ΔE_f (raw) = 4.67 eV per formula unit
SG = F-43m (216)
M_tot = 0.41 μB per formula unit

```
data_SbWBr
_symmetry_space_group_name_H-M 'P 1'
_symmetry_Int_Tables_number 1
_cell_length_a 4.6732
_cell_length_b 4.6732
_cell_length_c 4.6732
_cell_angle_alpha 60.00
_cell_angle_beta 60.00
_cell_angle_gamma 60.00
loop_
_symmetry_equiv_pos_as_xyz
'x,y,z'
loop_
_atom_site_label
_atom_site_type_symbol
_atom_site_fract_x
_atom_site_fract_y
_atom_site_fract_z
_atom_site_occupancy
W1 W 0.0000 0.0000 0.0000 1
Br1 Br 0.5000 0.5000 0.5000 1
Sb1 Sb 0.7500 0.7500 0.7500 1
```

***

Computed, not measured: a geometry-optimized YSb2WBr structure at the GGA-PBEsol level of DFT.

Values from the calculation:
Crystal system = tetragonal
ΔE_f (raw) = 0.34 eV per formula unit
SG = P4/mmm (123)
M_tot = 0.00 μB per formula unit

```
data_YSb2WBr
_symmetry_space_group_name_H-M 'P 1'
_symmetry_Int_Tables_number 1
_cell_length_a 5.0775
_cell_length_b 5.0775
_cell_length_c 5.6812
_cell_angle_alpha 90.00
_cell_angle_beta 90.00
_cell_angle_gamma 90.00
loop_
_symmetry_equiv_pos_as_xyz
'x,y,z'
loop_
_atom_site_label
_atom_site_type_symbol
_atom_site_fract_x
_atom_site_fract_y
_atom_site_fract_z
_atom_site_occupancy
Y1 Y 0.0000 0.0000 0.5000 1
W1 W 0.0000 0.0000 0.0000 1
Br1 Br 0.5000 0.5000 0.5000 1
Sb1 Sb 0.5000 0.0000 0.0000 1
Sb2 Sb 0.0000 0.5000 0.0000 1
```

***

Q: Look up the ΔE_f (raw) of the second one.
A: 3.67 eV per formula unit